[1]
Compound: AlCuAs2
Source: the Alexandria database
Functional: meta-GGA SCAN
Structure: PBEsol geometry

Geometry as CIF:
```
data_AlCuAs2
_chemical_formula_sum 'Al1 Cu1 As2'
_symmetry_space_group_name_H-M 'P 1'
_symmetry_Int_Tables_number 1
_symmetry_space_group_name_Hall 'P 1'
_cell_length_a 2.763
_cell_length_b 2.763
_cell_length_c 8.545
_cell_angle_alpha 90.00
_cell_angle_beta 90.00
_cell_angle_gamma 90.00
loop_
_atom_site_label
_atom_site_type_symbol
_atom_site_fract_x
_atom_site_fract_y
_atom_site_fract_z
Al1 Al 0.000 0.000 0.000
Cu1 Cu 0.500 0.500 0.196
As1 As 0.000 0.000 0.415
As2 As 0.500 0.500 0.750
```

Properties
D(E_F), states/eV per atom: 0.4323
DFT formation energy, eV/atom: 0.13
Symmetry: P4mm (99)

***

[2]
Compound: LiAg3
Source: the Alexandria database
Functional: meta-GGA SCAN
Structure: PBEsol geometry

Geometry as CIF:
```
data_LiAg3
_chemical_formula_sum 'Li4 Ag12'
_symmetry_space_group_name_H-M 'P 1'
_symmetry_Int_Tables_number 1
_symmetry_space_group_name_Hall 'P 1'
_cell_length_a 4.900
_cell_length_b 9.234
_cell_length_c 5.707
_cell_angle_alpha 90.00
_cell_angle_beta 90.00
_cell_angle_gamma 90.00
loop_
_atom_site_label
_atom_site_type_symbol
_atom_site_fract_x
_atom_site_fract_y
_atom_site_fract_z
Li1 Li 0.085 0.250 0.114
Li2 Li 0.415 0.750 0.614
Li3 Li 0.585 0.250 0.386
Li4 Li 0.915 0.750 0.886
Ag1 Ag 0.089 0.250 0.619
Ag2 Ag 0.249 0.001 0.373
Ag3 Ag 0.249 0.499 0.373
Ag4 Ag 0.251 0.501 0.873
Ag5 Ag 0.251 0.999 0.873
Ag6 Ag 0.411 0.750 0.119
Ag7 Ag 0.589 0.250 0.881
Ag8 Ag 0.749 0.001 0.127
Ag9 Ag 0.749 0.499 0.127
Ag10 Ag 0.751 0.501 0.627
Ag11 Ag 0.751 0.999 0.627
Ag12 Ag 0.911 0.750 0.381
```

Properties
D(E_F), states/eV per atom: 0.2942
DFT formation energy, eV/atom: -0.11
Symmetry: Pnma (62)

***

[3]
Compound: Fe2TePt
Source: the Alexandria database
Functional: meta-GGA SCAN
Structure: PBEsol geometry

Geometry as CIF:
```
data_Fe2TePt
_chemical_formula_sum 'Fe2 Te1 Pt1'
_symmetry_space_group_name_H-M 'P 1'
_symmetry_Int_Tables_number 1
_symmetry_space_group_name_Hall 'P 1'
_cell_length_a 4.817
_cell_length_b 4.817
_cell_length_c 4.817
_cell_angle_alpha 132.97
_cell_angle_beta 132.97
_cell_angle_gamma 68.70
loop_
_atom_site_label
_atom_site_type_symbol
_atom_site_fract_x
_atom_site_fract_y
_atom_site_fract_z
Fe1 Fe 0.000 0.000 0.000
Fe2 Fe 0.750 0.250 0.500
Te1 Te 0.250 0.750 0.500
Pt1 Pt 0.500 0.500 0.000
```

Properties
D(E_F), states/eV per atom: 0.8404
Symmetry: I-4m2 (119)
Final energy, eV/atom: -35.804

***

[4]
Compound: AsIrS2Cl
Source: the Alexandria database
Functional: meta-GGA SCAN
Structure: PBEsol geometry

Geometry as CIF:
```
data_AsIrS2Cl
_chemical_formula_sum 'As1 Ir1 S2 Cl1'
_symmetry_space_group_name_H-M 'P 1'
_symmetry_Int_Tables_number 1
_symmetry_space_group_name_Hall 'P 1'
_cell_length_a 4.687
_cell_length_b 4.687
_cell_length_c 4.538
_cell_angle_alpha 90.00
_cell_angle_beta 90.00
_cell_angle_gamma 90.00
loop_
_atom_site_label
_atom_site_type_symbol
_atom_site_fract_x
_atom_site_fract_y
_atom_site_fract_z
As1 As 0.000 0.000 0.000
Ir1 Ir 0.500 0.500 0.500
S1 S 0.000 0.500 0.000
S2 S 0.500 0.000 0.000
Cl1 Cl 0.000 0.000 0.500
```

Properties
D(E_F), states/eV per atom: 0.5046
Symmetry: P4/mmm (123)
Final energy, eV/atom: -22.491

***

[5]
Compound: NaH3Br
Source: the Alexandria database
Functional: meta-GGA SCAN
Structure: PBEsol geometry

Geometry as CIF:
```
data_NaH3Br
_chemical_formula_sum 'Na1 H3 Br1'
_symmetry_space_group_name_H-M 'P 1'
_symmetry_Int_Tables_number 1
_symmetry_space_group_name_Hall 'P 1'
_cell_length_a 4.192
_cell_length_b 4.192
_cell_length_c 4.192
_cell_angle_alpha 90.00
_cell_angle_beta 90.00
_cell_angle_gamma 90.00
loop_
_atom_site_label
_atom_site_type_symbol
_atom_site_fract_x
_atom_site_fract_y
_atom_site_fract_z
Na1 Na 0.000 0.000 0.000
H1 H 0.000 0.000 0.500
H2 H 0.000 0.500 0.000
H3 H 0.500 0.000 0.000
Br1 Br 0.500 0.500 0.500
```

Properties
D(E_F), states/eV per atom: 0.0900
Symmetry: Pm-3m (221)
Final energy, eV/atom: -5.995

***

[6]
Compound: BeBiRhSe2
Source: the Alexandria database
Functional: meta-GGA SCAN
Structure: PBEsol geometry

Geometry as CIF:
```
data_BeBiRhSe2
_chemical_formula_sum 'Be1 Bi1 Rh1 Se2'
_symmetry_space_group_name_H-M 'P 1'
_symmetry_Int_Tables_number 1
_symmetry_space_group_name_Hall 'P 1'
_cell_length_a 4.736
_cell_length_b 4.736
_cell_length_c 4.138
_cell_angle_alpha 90.00
_cell_angle_beta 90.00
_cell_angle_gamma 90.00
loop_
_atom_site_label
_atom_site_type_symbol
_atom_site_fract_x
_atom_site_fract_y
_atom_site_fract_z
Be1 Be 0.000 0.000 0.000
Bi1 Bi 0.500 0.500 0.500
Rh1 Rh 0.000 0.000 0.500
Se1 Se 0.000 0.500 0.000
Se2 Se 0.500 0.000 0.000
```

Properties
D(E_F), states/eV per atom: 0.6475
Symmetry: P4/mmm (123)
Final energy, eV/atom: -31.016

***

[7]
Compound: MoPtSe2
Source: the Alexandria database
Functional: meta-GGA SCAN
Structure: PBEsol geometry

Geometry as CIF:
```
data_MoPtSe2
_chemical_formula_sum 'Mo1 Pt1 Se2'
_symmetry_space_group_name_H-M 'P 1'
_symmetry_Int_Tables_number 1
_symmetry_space_group_name_Hall 'P 1'
_cell_length_a 4.538
_cell_length_b 4.538
_cell_length_c 4.538
_cell_angle_alpha 60.00
_cell_angle_beta 60.00
_cell_angle_gamma 60.00
loop_
_atom_site_label
_atom_site_type_symbol
_atom_site_fract_x
_atom_site_fract_y
_atom_site_fract_z
Mo1 Mo 0.000 0.000 0.000
Pt1 Pt 0.750 0.750 0.750
Se1 Se 0.250 0.250 0.250
Se2 Se 0.500 0.500 0.500
```

Properties
D(E_F), states/eV per atom: 0.6047
Symmetry: F-43m (216)
Final energy, eV/atom: -35.718

***

[8]
Compound: LaTlPb2
Source: the Alexandria database
Functional: meta-GGA SCAN
Structure: PBEsol geometry

Geometry as CIF:
```
data_LaTlPb2
_chemical_formula_sum 'La1 Tl1 Pb2'
_symmetry_space_group_name_H-M 'P 1'
_symmetry_Int_Tables_number 1
_symmetry_space_group_name_Hall 'P 1'
_cell_length_a 5.512
_cell_length_b 5.512
_cell_length_c 5.512
_cell_angle_alpha 60.00
_cell_angle_beta 60.00
_cell_angle_gamma 60.00
loop_
_atom_site_label
_atom_site_type_symbol
_atom_site_fract_x
_atom_site_fract_y
_atom_site_fract_z
La1 La 0.000 0.000 0.000
Tl1 Tl 0.750 0.750 0.750
Pb1 Pb 0.250 0.250 0.250
Pb2 Pb 0.500 0.500 0.500
```

Properties
D(E_F), states/eV per atom: 0.5897
DFT formation energy, eV/atom: -0.37
Symmetry: F-43m (216)

***

[9]
Compound: AsP2Au
Source: the Alexandria database
Functional: meta-GGA SCAN
Structure: PBEsol geometry

Geometry as CIF:
```
data_AsP2Au
_chemical_formula_sum 'As1 P2 Au1'
_symmetry_space_group_name_H-M 'P 1'
_symmetry_Int_Tables_number 1
_symmetry_space_group_name_Hall 'P 1'
_cell_length_a 6.580
_cell_length_b 6.580
_cell_length_c 6.580
_cell_angle_alpha 152.59
_cell_angle_beta 147.95
_cell_angle_gamma 42.66
loop_
_atom_site_label
_atom_site_type_symbol
_atom_site_fract_x
_atom_site_fract_y
_atom_site_fract_z
As1 As 0.000 0.000 0.000
P1 P 0.610 0.610 0.000
P2 P 0.742 0.242 0.500
Au1 Au 0.340 0.840 0.500
```

Properties
D(E_F), states/eV per atom: 0.4188
DFT formation energy, eV/atom: 0.37
Symmetry: Imm2 (44)

***

[10]
Compound: CaY2Te
Source: the Alexandria database
Functional: meta-GGA SCAN
Structure: PBEsol geometry

Geometry as CIF:
```
data_CaY2Te
_chemical_formula_sum 'Ca1 Y2 Te1'
_symmetry_space_group_name_H-M 'P 1'
_symmetry_Int_Tables_number 1
_symmetry_space_group_name_Hall 'P 1'
_cell_length_a 3.859
_cell_length_b 3.859
_cell_length_c 8.106
_cell_angle_alpha 90.00
_cell_angle_beta 90.00
_cell_angle_gamma 90.00
loop_
_atom_site_label
_atom_site_type_symbol
_atom_site_fract_x
_atom_site_fract_y
_atom_site_fract_z
Ca1 Ca 0.000 0.000 0.000
Y1 Y 0.000 0.000 0.439
Y2 Y 0.500 0.500 0.691
Te1 Te 0.500 0.500 0.242
```

Properties
D(E_F), states/eV per atom: 0.5336
Symmetry: P4mm (99)
Final energy, eV/atom: -26.312

***

[11]
Compound: SrAl2Tl
Source: the Alexandria database
Functional: meta-GGA SCAN
Structure: PBEsol geometry

Geometry as CIF:
```
data_SrAl2Tl
_chemical_formula_sum 'Sr1 Al2 Tl1'
_symmetry_space_group_name_H-M 'P 1'
_symmetry_Int_Tables_number 1
_symmetry_space_group_name_Hall 'P 1'
_cell_length_a 6.168
_cell_length_b 6.168
_cell_length_c 6.168
_cell_angle_alpha 138.69
_cell_angle_beta 136.40
_cell_angle_gamma 61.62
loop_
_atom_site_label
_atom_site_type_symbol
_atom_site_fract_x
_atom_site_fract_y
_atom_site_fract_z
Sr1 Sr 0.000 0.000 0.000
Al1 Al 0.599 0.599 0.000
Al2 Al 0.748 0.248 0.500
Tl1 Tl 0.275 0.775 0.500
```

Properties
D(E_F), states/eV per atom: 0.5095
DFT formation energy, eV/atom: -0.06
Symmetry: Imm2 (44)

***

[12]
Compound: CaLaTe2
Source: the Alexandria database
Functional: meta-GGA SCAN
Structure: PBEsol geometry

Geometry as CIF:
```
data_CaLaTe2
_chemical_formula_sum 'Ca2 La2 Te4'
_symmetry_space_group_name_H-M 'P 1'
_symmetry_Int_Tables_number 1
_symmetry_space_group_name_Hall 'P 1'
_cell_length_a 8.639
_cell_length_b 8.639
_cell_length_c 8.639
_cell_angle_alpha 131.55
_cell_angle_beta 131.55
_cell_angle_gamma 70.94
loop_
_atom_site_label
_atom_site_type_symbol
_atom_site_fract_x
_atom_site_fract_y
_atom_site_fract_z
Ca1 Ca 0.000 0.000 0.000
Ca2 Ca 0.750 0.250 0.500
La1 La 0.250 0.750 0.500
La2 La 0.500 0.500 0.000
Te1 Te 0.116 0.625 0.991
Te2 Te 0.375 0.366 0.491
Te3 Te 0.634 0.125 0.009
Te4 Te 0.875 0.884 0.509
```

Properties
D(E_F), states/eV per atom: 0.5420
Symmetry: I-42d (122)
Final energy, eV/atom: -33.133

***

[13]
Compound: ZnP2Os
Source: the Alexandria database
Functional: meta-GGA SCAN
Structure: PBEsol geometry

Geometry as CIF:
```
data_ZnP2Os
_chemical_formula_sum 'Zn1 P2 Os1'
_symmetry_space_group_name_H-M 'P 1'
_symmetry_Int_Tables_number 1
_symmetry_space_group_name_Hall 'P 1'
_cell_length_a 4.236
_cell_length_b 4.236
_cell_length_c 4.236
_cell_angle_alpha 60.00
_cell_angle_beta 60.00
_cell_angle_gamma 60.00
loop_
_atom_site_label
_atom_site_type_symbol
_atom_site_fract_x
_atom_site_fract_y
_atom_site_fract_z
Zn1 Zn 0.000 0.000 0.000
P1 P 0.500 0.500 0.500
P2 P 0.750 0.750 0.750
Os1 Os 0.250 0.250 0.250
```

Properties
D(E_F), states/eV per atom: 0.3386
DFT formation energy, eV/atom: 0.73
Symmetry: F-43m (216)

***

[14]
Compound: Sc2SiBr
Source: the Alexandria database
Functional: meta-GGA SCAN
Structure: PBEsol geometry

Geometry as CIF:
```
data_Sc2SiBr
_chemical_formula_sum 'Sc2 Si1 Br1'
_symmetry_space_group_name_H-M 'P 1'
_symmetry_Int_Tables_number 1
_symmetry_space_group_name_Hall 'P 1'
_cell_length_a 3.839
_cell_length_b 3.839
_cell_length_c 5.374
_cell_angle_alpha 90.00
_cell_angle_beta 90.00
_cell_angle_gamma 90.00
loop_
_atom_site_label
_atom_site_type_symbol
_atom_site_fract_x
_atom_site_fract_y
_atom_site_fract_z
Sc1 Sc 0.000 0.000 0.000
Sc2 Sc 0.500 0.500 0.500
Si1 Si 0.000 0.000 0.500
Br1 Br 0.500 0.500 0.000
```

Properties
D(E_F), states/eV per atom: 0.3552
Symmetry: P4/mmm (123)
Final energy, eV/atom: -15.370

***

[15]
Compound: TaCd3Rh
Source: the Alexandria database
Functional: meta-GGA SCAN
Structure: PBEsol geometry

Geometry as CIF:
```
data_TaCd3Rh
_chemical_formula_sum 'Ta1 Cd3 Rh1'
_symmetry_space_group_name_H-M 'P 1'
_symmetry_Int_Tables_number 1
_symmetry_space_group_name_Hall 'P 1'
_cell_length_a 5.158
_cell_length_b 5.158
_cell_length_c 5.158
_cell_angle_alpha 90.00
_cell_angle_beta 90.00
_cell_angle_gamma 90.00
loop_
_atom_site_label
_atom_site_type_symbol
_atom_site_fract_x
_atom_site_fract_y
_atom_site_fract_z
Ta1 Ta 0.000 0.000 0.000
Cd1 Cd 0.000 0.000 0.500
Cd2 Cd 0.000 0.500 0.000
Cd3 Cd 0.500 0.000 0.000
Rh1 Rh 0.500 0.500 0.500
```

Properties
D(E_F), states/eV per atom: 0.8099
DFT formation energy, eV/atom: 1.76
Symmetry: Pm-3m (221)

***

[16]
Compound: Ag2Pt
Source: the Alexandria database
Functional: meta-GGA SCAN
Structure: PBEsol geometry

Geometry as CIF:
```
data_Ag2Pt
_chemical_formula_sum 'Ag8 Pt4'
_symmetry_space_group_name_H-M 'P 1'
_symmetry_Int_Tables_number 1
_symmetry_space_group_name_Hall 'P 1'
_cell_length_a 5.656
_cell_length_b 3.971
_cell_length_c 8.489
_cell_angle_alpha 90.00
_cell_angle_beta 90.00
_cell_angle_gamma 90.00
loop_
_atom_site_label
_atom_site_type_symbol
_atom_site_fract_x
_atom_site_fract_y
_atom_site_fract_z
Ag1 Ag 0.122 0.250 0.085
Ag2 Ag 0.129 0.250 0.750
Ag3 Ag 0.371 0.750 0.250
Ag4 Ag 0.378 0.750 0.585
Ag5 Ag 0.622 0.250 0.415
Ag6 Ag 0.629 0.250 0.750
Ag7 Ag 0.871 0.750 0.250
Ag8 Ag 0.878 0.750 0.915
Pt1 Pt 0.119 0.250 0.421
Pt2 Pt 0.381 0.750 0.921
Pt3 Pt 0.619 0.250 0.079
Pt4 Pt 0.881 0.750 0.579
```

Properties
D(E_F), states/eV per atom: 0.3929
DFT formation energy, eV/atom: 0.02
Symmetry: Pnma (62)

***

[17]
Compound: RbTeS3
Source: the Alexandria database
Functional: meta-GGA SCAN
Structure: PBEsol geometry

Geometry as CIF:
```
data_RbTeS3
_chemical_formula_sum 'Rb1 Te1 S3'
_symmetry_space_group_name_H-M 'P 1'
_symmetry_Int_Tables_number 1
_symmetry_space_group_name_Hall 'P 1'
_cell_length_a 5.110
_cell_length_b 5.110
_cell_length_c 5.110
_cell_angle_alpha 90.00
_cell_angle_beta 90.00
_cell_angle_gamma 90.00
loop_
_atom_site_label
_atom_site_type_symbol
_atom_site_fract_x
_atom_site_fract_y
_atom_site_fract_z
Rb1 Rb 0.000 0.000 0.000
Te1 Te 0.500 0.500 0.500
S1 S 0.000 0.500 0.500
S2 S 0.500 0.000 0.500
S3 S 0.500 0.500 0.000
```

Properties
D(E_F), states/eV per atom: 0.8347
Symmetry: Pm-3m (221)
Final energy, eV/atom: -17.637

***

no.,calculated volume (Å³/cell)
1,65.2
2,258.2
3,58.8
4,99.7
5,73.6
6,92.8
7,66.1
8,118.4
9,69.4
10,120.7
11,105.6
12,353.6
13,53.7
14,79.2
15,137.3
16,190.7
17,133.4